[1]
Below is NdCd2Sn2 after structural relaxation, with properties calculated at the GGA-PBE level.

- V: 25.34 Å³/atom
- Crystal system: orthorhombic
- Final energy: -3.321 eV/atom
- Magnetic moment: 0.00 μB per formula unit

CIF file:
```
data_NdCd2Sn2
_chemical_formula_sum 'Nd4 Cd8 Sn8'
_symmetry_space_group_name_H-M 'C m c m'
_symmetry_Int_Tables_number 63
_symmetry_space_group_name_Hall '-C 2c 2'
_cell_length_a 4.4955
_cell_length_b 24.8635
_cell_length_c 4.5334
_cell_angle_alpha 90.00
_cell_angle_beta 90.00
_cell_angle_gamma 90.00
loop_
_atom_site_label
_atom_site_type_symbol
_atom_site_fract_x
_atom_site_fract_y
_atom_site_fract_z
Nd1 Nd 0.0000 0.1486 0.2500
Cd1 Cd 0.0000 0.0418 0.7500
Cd2 Cd 0.0000 0.4559 0.7500
Sn1 Sn 0.0000 0.2494 0.7500
Sn2 Sn 0.0000 0.3695 0.2500
```

---

[2]
Below is NdCo12Ge6 after structural relaxation, with properties calculated at the GGA-PBE level.

- V: 13.76 Å³/atom
- Crystal system: trigonal
- Final energy: -6.269 eV/atom
- Magnetic moment: 7.18 μB per formula unit

CIF file:
```
data_NdCo12Ge6
_chemical_formula_sum 'Nd3 Co36 Ge18'
_symmetry_space_group_name_H-M 'R -3 m'
_symmetry_Int_Tables_number 166
_symmetry_space_group_name_Hall '-R 3 2"'
_cell_length_a 10.6281
_cell_length_b 10.6281
_cell_length_c 8.0162
_cell_angle_alpha 90.00
_cell_angle_beta 90.00
_cell_angle_gamma 120.00
loop_
_atom_site_label
_atom_site_type_symbol
_atom_site_fract_x
_atom_site_fract_y
_atom_site_fract_z
Nd1 Nd 0.0000 0.0000 0.0000
Co1 Co 0.0000 0.3733 0.5000
Co2 Co 0.0833 0.1666 0.3517
Ge1 Ge 0.0306 0.5153 0.2715
```

---

Among the records above, which one has the highest magnetic moment?
NdCo12Ge6